Record 1
# Tb3Y7Mg, optimized geometry, DFT PBE-GGA
data_Tb3Y7Mg
_cell_length_a 7.0266
_cell_length_b 7.0266
_cell_length_c 8.5909
_cell_angle_alpha 90.00
_cell_angle_beta 90.00
_cell_angle_gamma 120.00
_space_group_name_H-M_alt 'P 3 m 1'
_space_group_IT_number 156
_space_group_name_Hall 'P 3 -2"'
loop_
_atom_site_label
_atom_site_type_symbol
_atom_site_fract_x
_atom_site_fract_y
_atom_site_fract_z
_atom_site_occupancy
Tb1 Tb 0.0036 0.5018 0.0000 1
Y1 Y 0.1694 0.3389 0.6623 1
Y2 Y 0.3333 0.6667 0.3297 1
Y3 Y 0.3346 0.1673 0.3345 1
Mg1 Mg 0.6667 0.3333 0.6603 1
# * energy of formation from the pure elements: 0.200 eV per atom
# * distance to the lowest polymorph of the same formula: 0.88 eV per formula unit
# * crystal system: trigonal

Record 2
# Na2Ni3H12Rh, optimized geometry, DFT PBE-GGA
data_Na2Ni3H12Rh
_cell_length_a 5.7632
_cell_length_b 5.7632
_cell_length_c 14.5557
_cell_angle_alpha 90.00
_cell_angle_beta 90.00
_cell_angle_gamma 120.00
_space_group_name_H-M_alt 'R -3 m'
_space_group_IT_number 166
_space_group_name_Hall '-R 3 2"'
loop_
_atom_site_label
_atom_site_type_symbol
_atom_site_fract_x
_atom_site_fract_y
_atom_site_fract_z
_atom_site_occupancy
Na1 Na 0.0000 0.0000 0.1198 1
Ni1 Ni 0.0000 0.5000 0.0000 1
H1 H 0.0305 0.5152 0.1114 1
H2 H 0.0451 0.5226 0.3555 1
Rh1 Rh 0.0000 0.0000 0.5000 1
# * crystal system: trigonal

Record 3
# TaReSb2, optimized geometry, DFT PBE-GGA
data_TaReSb2
_cell_length_a 6.6937
_cell_length_b 6.6937
_cell_length_c 6.6937
_cell_angle_alpha 90.00
_cell_angle_beta 90.00
_cell_angle_gamma 90.00
_space_group_name_H-M_alt 'F m -3 m'
_space_group_IT_number 225
_space_group_name_Hall '-F 4 2 3'
loop_
_atom_site_label
_atom_site_type_symbol
_atom_site_fract_x
_atom_site_fract_y
_atom_site_fract_z
_atom_site_occupancy
Ta1 Ta 0.0000 0.0000 0.0000 1
Re1 Re 0.0000 0.0000 0.5000 1
Sb1 Sb 0.2500 0.2500 0.2500 1
# * E_form (uncorrected): 454 meV/atom
# * distance to the lowest polymorph of the same formula: 1.66 eV per formula unit
# * crystal system: cubic

Record 4
# Pr5GaSi2, optimized geometry, DFT PBE-GGA
data_Pr5GaSi2
_cell_length_a 7.8999
_cell_length_b 7.8999
_cell_length_c 14.2930
_cell_angle_alpha 90.00
_cell_angle_beta 90.00
_cell_angle_gamma 90.00
_space_group_name_H-M_alt 'I 4/m c m'
_space_group_IT_number 140
_space_group_name_Hall '-I 4 2c'
loop_
_atom_site_label
_atom_site_type_symbol
_atom_site_fract_x
_atom_site_fract_y
_atom_site_fract_z
_atom_site_occupancy
Pr1 Pr 0.0000 0.0000 0.0000 1
Pr2 Pr 0.1791 0.3209 0.1435 1
Ga1 Ga 0.0000 0.0000 0.2500 1
Si1 Si 0.1134 0.3866 0.5000 1
# * E_form (uncorrected): -542 meV/atom
# * crystal system: tetragonal

Record 5
# HoMgZrRu, optimized geometry, DFT PBE-GGA
data_HoMgZrRu
_cell_length_a 6.9090
_cell_length_b 6.9090
_cell_length_c 6.9090
_cell_angle_alpha 90.00
_cell_angle_beta 90.00
_cell_angle_gamma 90.00
_space_group_name_H-M_alt 'F -4 3 m'
_space_group_IT_number 216
_space_group_name_Hall 'F -4 2 3'
loop_
_atom_site_label
_atom_site_type_symbol
_atom_site_fract_x
_atom_site_fract_y
_atom_site_fract_z
_atom_site_occupancy
Ho1 Ho 0.0000 0.0000 0.0000 1
Mg1 Mg 0.2500 0.2500 0.7500 1
Zr1 Zr 0.0000 0.0000 0.5000 1
Ru1 Ru 0.2500 0.2500 0.2500 1
# * energy of formation from the pure elements: -0.174 eV per atom
# * crystal system: cubic

Record 6
# LiPS2, optimized geometry, DFT PBE-GGA
data_LiPS2
_cell_length_a 5.3351
_cell_length_b 5.3351
_cell_length_c 12.0106
_cell_angle_alpha 90.00
_cell_angle_beta 90.00
_cell_angle_gamma 90.00
_space_group_name_H-M_alt 'I -4 2 d'
_space_group_IT_number 122
_space_group_name_Hall 'I -4 2bw'
loop_
_atom_site_label
_atom_site_type_symbol
_atom_site_fract_x
_atom_site_fract_y
_atom_site_fract_z
_atom_site_occupancy
Li1 Li 0.0000 0.0000 0.0000 1
P1 P 0.0000 0.0000 0.5000 1
S1 S 0.2160 0.2500 0.6250 1
# * E_form (uncorrected): -314 meV/atom
# * crystal system: tetragonal

Record 7
# BeTcP2, optimized geometry, DFT PBE-GGA
data_BeTcP2
_cell_length_a 4.0374
_cell_length_b 4.0374
_cell_length_c 3.0478
_cell_angle_alpha 90.00
_cell_angle_beta 90.00
_cell_angle_gamma 90.00
_space_group_name_H-M_alt 'P 4/m m m'
_space_group_IT_number 123
_space_group_name_Hall '-P 4 2'
loop_
_atom_site_label
_atom_site_type_symbol
_atom_site_fract_x
_atom_site_fract_y
_atom_site_fract_z
_atom_site_occupancy
Be1 Be 0.0000 0.0000 0.0000 1
Tc1 Tc 0.5000 0.5000 0.0000 1
P1 P 0.0000 0.5000 0.5000 1
# * energy of formation from the pure elements: 0.180 eV per atom
# * crystal system: tetragonal

Record 8
# AcTb2Pr5Sm, optimized geometry, DFT PBE-GGA
data_AcTb2Pr5Sm
_cell_length_a 5.6558
_cell_length_b 24.6014
_cell_length_c 9.5982
_cell_angle_alpha 90.00
_cell_angle_beta 90.00
_cell_angle_gamma 90.00
_space_group_name_H-M_alt 'C m c 21'
_space_group_IT_number 36
_space_group_name_Hall 'C 2c -2'
loop_
_atom_site_label
_atom_site_type_symbol
_atom_site_fract_x
_atom_site_fract_y
_atom_site_fract_z
_atom_site_occupancy
Ac1 Ac 0.0000 0.1025 0.0000 1
Tb1 Tb 0.0000 0.3277 0.2478 1
Tb2 Tb 0.0000 0.3880 0.8590 1
Pr1 Pr 0.0000 0.0243 0.3263 1
Pr2 Pr 0.0000 0.1052 0.6058 1
Pr3 Pr 0.0000 0.1894 0.2980 1
Pr4 Pr 0.0000 0.2410 0.9325 1
Pr5 Pr 0.0000 0.4921 0.1058 1
Sm1 Sm 0.0000 0.2643 0.6078 1
# * energy of formation from the pure elements: 0.139 eV per atom
# * crystal system: orthorhombic

Record 9
# AgB2Pt3, optimized geometry, DFT PBE-GGA
data_AgB2Pt3
_cell_length_a 7.8314
_cell_length_b 7.9767
_cell_length_c 5.2740
_cell_angle_alpha 90.00
_cell_angle_beta 90.08
_cell_angle_gamma 90.00
_space_group_name_H-M_alt 'C 1 2/m 1'
_space_group_IT_number 12
_space_group_name_Hall '-C 2y'
loop_
_atom_site_label
_atom_site_type_symbol
_atom_site_fract_x
_atom_site_fract_y
_atom_site_fract_z
_atom_site_occupancy
Ag1 Ag 0.1387 0.0000 0.2506 1
B1 B 0.0000 0.2748 0.0000 1
B2 B 0.0000 0.2748 0.5000 1
Pt1 Pt 0.0000 0.5000 0.2500 1
Pt2 Pt 0.1791 0.1796 0.7504 1
# * energy of formation from the pure elements: -0.044 eV per atom
# * crystal system: monoclinic

Record 10
# HgTePN2, optimized geometry, DFT PBE-GGA
data_HgTePN2
_cell_length_a 3.7883
_cell_length_b 3.7883
_cell_length_c 5.7293
_cell_angle_alpha 90.00
_cell_angle_beta 90.00
_cell_angle_gamma 90.00
_space_group_name_H-M_alt 'P 4/m m m'
_space_group_IT_number 123
_space_group_name_Hall '-P 4 2'
loop_
_atom_site_label
_atom_site_type_symbol
_atom_site_fract_x
_atom_site_fract_y
_atom_site_fract_z
_atom_site_occupancy
Hg1 Hg 0.0000 0.0000 0.0000 1
Te1 Te 0.5000 0.5000 0.0000 1
P1 P 0.5000 0.5000 0.5000 1
N1 N 0.0000 0.5000 0.5000 1
# * E_form (uncorrected): 1208 meV/atom
# * distance to the lowest polymorph of the same formula: 0.00 eV per formula unit
# * crystal system: tetragonal

Record 11
# NdScSnPd, optimized geometry, DFT PBE-GGA
data_NdScSnPd
_cell_length_a 7.2380
_cell_length_b 7.2380
_cell_length_c 7.2380
_cell_angle_alpha 90.00
_cell_angle_beta 90.00
_cell_angle_gamma 90.00
_space_group_name_H-M_alt 'F -4 3 m'
_space_group_IT_number 216
_space_group_name_Hall 'F -4 2 3'
loop_
_atom_site_label
_atom_site_type_symbol
_atom_site_fract_x
_atom_site_fract_y
_atom_site_fract_z
_atom_site_occupancy
Nd1 Nd 0.0000 0.0000 0.0000 1
Sc1 Sc 0.0000 0.0000 0.5000 1
Sn1 Sn 0.2500 0.2500 0.7500 1
Pd1 Pd 0.2500 0.2500 0.2500 1
# * energy of formation from the pure elements: -0.660 eV per atom
# * crystal system: cubic

Record 12
# Li2PaOsO8, optimized geometry, DFT PBE-GGA
data_Li2PaOsO8
_cell_length_a 6.5399
_cell_length_b 6.8171
_cell_length_c 6.5402
_cell_angle_alpha 90.00
_cell_angle_beta 90.00
_cell_angle_gamma 90.00
_space_group_name_H-M_alt 'C m m m'
_space_group_IT_number 65
_space_group_name_Hall '-C 2 2'
loop_
_atom_site_label
_atom_site_type_symbol
_atom_site_fract_x
_atom_site_fract_y
_atom_site_fract_z
_atom_site_occupancy
Li1 Li 0.0000 0.0000 0.2350 1
Pa1 Pa 0.0000 0.5000 0.5000 1
Os1 Os 0.0000 0.5000 0.0000 1
O1 O 0.0000 0.3117 0.2156 1
O2 O 0.2011 0.0000 0.5000 1
O3 O 0.2231 0.0000 0.0000 1
# * E_form (uncorrected): -1813 meV/atom
# * crystal system: orthorhombic

no.,final energy (eV per atom)
1,-5.321
2,-3.872
3,-7.682
4,-5.263
5,-6.173
6,-4.209
7,-6.048
8,-4.526
9,-5.765
10,-3.893
11,-5.734
12,-7.164